NaAg2Pt | Alexandria via LeMat-Bulk | PBE | optimized geometry; symmetry = P4/mmm, No. 123; formation energy = -0.14 eV/f.u.; raw total energy = -13.20 eV/cell
1.0
-2.696 2.652 -1.007
-0.302 -1.772 -3.856
-3.068 -2.579 1.425
Na Ag Pt
1 2 1
Cartesian
-1.348 1.326 -0.504
-0.151 -0.886 -1.928
-1.534 -1.289 0.713
-3.033 -0.849 -1.719



Na2Ag2Pt | Alexandria via LeMat-Bulk | PBE | optimized geometry; symmetry = P4/mbm, No. 127; formation energy = 0.09 eV/f.u.; raw total energy = -28.58 eV/cell
1.0
-2.716 4.642 4.364
-6.335 -2.478 -1.306
0.453 -2.975 3.447
Ag Na Pt
4 4 2
Cartesian
-6.385 2.415 2.925
-2.614 2.621 2.606
-6.437 -0.458 0.452
-2.665 -0.251 0.134
-6.821 -0.375 3.611
-1.777 -0.436 2.894
-4.043 1.530 4.889
-4.555 -2.341 1.616
-4.525 1.082 1.529
0.000 0.000 0.000



NaAg10Pt2 | Alexandria via LeMat-Bulk | PBE | optimized geometry; symmetry = Fmmm, No. 69; formation energy = 0.20 eV/f.u.; raw total energy = -41.72 eV/cell
1.0
5.527 0.000 0.000
2.764 6.733 0.000
2.764 0.000 6.688
Ag Pt Na
10 2 1
Cartesian
1.382 0.000 3.344
5.527 1.478 5.232
2.764 1.478 1.456
4.146 0.000 3.344
5.527 5.255 1.456
8.291 5.255 5.232
5.527 2.370 2.295
8.291 2.370 4.394
2.764 4.363 2.295
5.527 4.363 4.394
4.146 3.367 0.000
1.382 3.367 0.000
0.000 0.000 0.000



NaAgPt | Alexandria via LeMat-Bulk | PBE | optimized geometry; symmetry = Imma, No. 74; formation energy = -0.58 eV/f.u.; raw total energy = -21.58 eV/cell
1.0
-3.582 -2.548 3.096
1.804 -3.355 3.996
-0.573 1.538 5.271
Na Pt Ag
2 2 2
Cartesian
0.355 -1.449 6.221
-2.705 -2.916 6.143
-1.791 -1.274 1.548
0.000 0.000 0.000
-0.889 -2.951 3.546
-2.078 -0.505 4.184



NaAgPt4 | Alexandria via LeMat-Bulk | PBE | optimized geometry; symmetry = F-43m, No. 216; formation energy = -0.91 eV/f.u.; raw total energy = -29.24 eV/cell
1.0
5.327 0.000 0.000
2.663 4.613 0.000
2.663 1.538 4.349
Ag Pt Na
1 4 1
Cartesian
0.000 0.000 0.000
3.996 3.844 2.718
6.657 3.844 2.718
5.327 1.538 2.718
5.327 3.075 0.544
2.663 1.538 1.087



NaAg3Pt | Alexandria via LeMat-Bulk | PBE | optimized geometry; symmetry = Pm-3m, No. 221; formation energy = 5.04 eV/f.u.; raw total energy = -10.87 eV/cell
1.0
4.706 0.000 0.000
0.000 4.706 0.000
0.000 0.000 4.706
Na Ag Pt
1 3 1
Cartesian
0.000 0.000 0.000
0.000 2.353 0.000
0.000 0.000 2.353
2.353 0.000 0.000
2.353 2.353 2.353



NaAg3Pt | Alexandria via LeMat-Bulk | PBE | optimized geometry; symmetry = Pm-3m, No. 221; formation energy = 1.95 eV/f.u.; raw total energy = -13.97 eV/cell
1.0
-1.305 3.280 -3.775
-4.242 1.341 2.632
2.650 3.763 2.353
Na Pt Ag
1 1 3
Cartesian
-1.448 4.192 0.605
0.000 0.000 0.000
-0.652 1.640 -1.888
1.325 1.881 1.177
-2.121 0.671 1.316



NaAgPt | Alexandria via LeMat-Bulk | PBE | optimized geometry; symmetry = C2/m, No. 12; formation energy = -0.22 eV/f.u.; raw total energy = -20.86 eV/cell
1.0
5.210 -0.203 0.442
-0.803 4.955 -0.269
-1.471 -2.459 4.128
Ag Pt Na
2 2 2
Cartesian
3.964 -0.152 3.080
-1.028 2.445 1.221
0.000 0.000 0.000
1.468 1.147 2.151
1.692 3.636 0.673
1.244 -1.342 3.629



NaAg2Pt | Alexandria via LeMat-Bulk | PBE | optimized geometry; symmetry = P4/mmm, No. 123; formation energy = 0.15 eV/f.u.; raw total energy = -12.92 eV/cell
1.0
2.888 0.000 0.000
0.000 2.888 0.000
0.000 0.000 8.864
Na Pt Ag
1 1 2
Cartesian
1.444 1.444 4.432
1.444 1.444 0.000
0.000 0.000 6.844
0.000 0.000 2.020



NaAg2Pt | Alexandria via LeMat-Bulk | PBE | optimized geometry; symmetry = Fm-3m, No. 225; formation energy = -0.05 eV/f.u.; raw total energy = -13.11 eV/cell
1.0
0.000 3.301 3.301
3.301 0.000 3.301
3.301 3.301 0.000
Ag Pt Na
2 1 1
Cartesian
4.951 4.951 4.951
1.650 1.650 1.650
3.301 3.301 3.301
0.000 0.000 0.000



NaAg5Pt2 | Alexandria via LeMat-Bulk | PBE | optimized geometry; symmetry = Immm, No. 71; formation energy = 1.01 eV/f.u.; raw total energy = -26.65 eV/cell
1.0
-0.510 -1.766 -4.158
-4.855 -3.951 -0.212
-3.825 3.507 -3.506
Ag Pt Na
5 2 1
Cartesian
-3.350 -2.592 -3.459
-4.340 -0.222 -1.859
-5.840 0.382 -4.417
-6.187 -2.133 -3.307
-3.003 -0.077 -4.570
-7.528 -1.555 -5.873
-1.662 -0.655 -2.003
0.000 0.000 0.000



NaPuAgPt | Alexandria via LeMat-Bulk | PBE | optimized geometry; symmetry = F-43m, No. 216; formation energy = -0.63 eV/f.u.; raw total energy = -25.17 eV/cell
1.0
-3.338 3.370 -1.504
-4.705 -0.274 1.595
-1.740 3.382 3.208
Pu Pt Ag Na
1 1 1 1
Cartesian
0.000 0.000 0.000
-7.337 4.858 2.475
-2.446 1.619 0.825
-4.892 3.239 1.650